Record 1
YTaRe2Ag: optimized geometry, GGA-PBE.

Cell lengths 4.806, 4.939, 4.806 Å; angles 90.00, 90.00, 90.00 degrees
Fractional positions:
Y 0.000 0.000 0.000
Re 0.000 0.000 0.500
Re 0.500 0.000 0.000
Ag 0.500 0.500 0.500
Ta 0.000 0.500 0.000

Output
Formation energy   2809 meV per atom
Space-group type   P4/mmm, No. 123
E_tot   -32.02 eV/cell

Record 2
Tb2ReAg: optimized geometry, GGA-PBE.

Cell lengths 3.475, 3.475, 7.483 Å; angles 90.00, 90.00, 90.00 degrees
Fractional positions:
Re 0.500 0.500 0.000
Tb 0.000 0.000 0.777
Tb 0.000 0.000 0.223
Ag 0.500 0.500 0.500

Output
Formation energy   -58 meV per atom
Space-group type   P4/mmm, No. 123
E_tot   -24.79 eV/cell

Record 3
TbThReAg: optimized geometry, GGA-PBE.

Cell lengths 5.078, 5.078, 5.078 Å; angles 60.00, 60.00, 60.00 degrees
Fractional positions:
Re 0.750 0.750 0.750
Tb 0.000 0.000 0.000
Ag 0.250 0.250 0.250
Th 0.500 0.500 0.500

Output
Formation energy   -6 meV per atom
Space-group type   F-43m, No. 216
E_tot   -27.37 eV/cell

Record 4
ReTc2Ag: optimized geometry, GGA-PBE.

Cell lengths 3.969, 3.969, 3.837 Å; angles 90.00, 90.00, 90.00 degrees
Fractional positions:
Ag 0.500 0.000 0.500
Re 0.000 0.500 0.500
Tc 0.000 0.000 0.000
Tc 0.500 0.500 0.000

Output
Formation energy   510 meV per atom
Space-group type   P4/mmm, No. 123
E_tot   -33.99 eV/cell
Energy above the lowest structure with this stoichiometry   279 meV/atom

Record 5
ReTc2Ag: optimized geometry, GGA-PBE.

Cell lengths 4.432, 4.432, 4.432 Å; angles 60.00, 60.00, 60.00 degrees
Fractional positions:
Ag 0.500 0.500 0.500
Re 0.750 0.750 0.750
Tc 0.000 0.000 0.000
Tc 0.250 0.250 0.250

Output
Formation energy   677 meV per atom
Space-group type   F-43m, No. 216
E_tot   -33.32 eV/cell
Energy above the lowest structure with this stoichiometry   446 meV/atom

Record 6
ReTc2Ag: optimized geometry, GGA-PBE.

Cell lengths 2.764, 3.981, 5.607 Å; angles 90.00, 90.00, 90.00 degrees
Fractional positions:
Ag 0.000 0.000 0.499
Re 0.500 0.500 0.779
Tc 0.000 0.000 0.000
Tc 0.500 0.500 0.223

Output
Formation energy   367 meV per atom
Space-group type   Pmm2, No. 25
E_tot   -34.56 eV/cell
Energy above the lowest structure with this stoichiometry   137 meV/atom

Please write out number 5 again, unchanged.
ReTc2Ag: optimized geometry, GGA-PBE.

Cell lengths 4.432, 4.432, 4.432 Å; angles 60.00, 60.00, 60.00 degrees
Fractional positions:
Ag 0.500 0.500 0.500
Re 0.750 0.750 0.750
Tc 0.000 0.000 0.000
Tc 0.250 0.250 0.250

Output
Formation energy   677 meV per atom
Space-group type   F-43m, No. 216
E_tot   -33.32 eV/cell
Energy above the lowest structure with this stoichiometry   446 meV/atom

Which of these has the highest E_tot? Tb2ReAg